Cr2InCu: relaxed, PBE.

Magnetization   0.00 μB per cell
DFT formation energy   0.545 eV per atom
D(E_F)   6.332 states/eV per cell

a = 5.078 Å, b = 8.423 Å, c = 2.649 Å
α = 90.00°, β = 90.00°, γ = 90.00°
Space group Cmmm (No. 65)
Unique sites:
Cr 0.250 0.250 0.000 [4 per cell]
In 0.000 0.000 0.500 [2 per cell]
Cu 0.000 0.500 0.500 [2 per cell]